Entry 1:
DFT (PBE) results for a relaxed YLuPdPb crystal.

Lattice parameters (Å, degrees): 7.3072 7.3072 7.3072 90.00 90.00 90.00
Closest atoms and distances in Å follow each position.
Atoms (fractional coordinates):
1 Y 0.0000 0.0000 0.0000  4 Pb 3.16, 4 Pd 3.16
2 Y 0.0000 0.5000 0.5000  4 Pb 3.16, 4 Pd 3.16
3 Y 0.5000 0.0000 0.5000  4 Pb 3.16, 4 Pd 3.16
4 Y 0.5000 0.5000 0.0000  4 Pb 3.16, 4 Pd 3.16
5 Lu 0.0000 0.0000 0.5000  4 Pb 3.16, 4 Pd 3.16
6 Lu 0.0000 0.5000 0.0000  4 Pd 3.16, 4 Pb 3.16
7 Lu 0.5000 0.0000 0.0000  4 Pd 3.16, 4 Pb 3.16
8 Lu 0.5000 0.5000 0.5000  4 Pd 3.16, 4 Pb 3.16
9 Pd 0.2500 0.2500 0.2500  4 Y 3.16, 4 Lu 3.16
10 Pd 0.2500 0.7500 0.7500  4 Y 3.16, 4 Lu 3.16
11 Pd 0.7500 0.2500 0.7500  4 Y 3.16, 4 Lu 3.16
12 Pd 0.7500 0.7500 0.2500  4 Y 3.16, 4 Lu 3.16
13 Pb 0.2500 0.2500 0.7500  4 Y 3.16, 4 Lu 3.16
14 Pb 0.2500 0.7500 0.2500  4 Y 3.16, 4 Lu 3.16
15 Pb 0.7500 0.2500 0.2500  4 Y 3.16, 4 Lu 3.16
16 Pb 0.7500 0.7500 0.7500  4 Y 3.16, 4 Lu 3.16

Summary:
space group: F-43m, No. 216
N(E_F): 1.80 states/eV/f.u.
energy relative to the elements: -59.8 kJ per mole of atoms
spin magnetization: 0.001 μB per cell

***

Entry 2:
DFT (PBE) results for a relaxed Sm4IrPt3 crystal.

Lattice parameters (Å, degrees): 3.8792 4.4709 10.7818 90.00 90.00 90.00
Closest atoms and distances in Å follow each position.
Atoms (fractional coordinates):
1 Sm 0.0000 0.0000 0.0000  5 Pt 3.00-3.01, 2 Ir 3.07
2 Sm 0.0000 0.5000 0.2742  3 Pt 2.98-3.11, 4 Ir 3.01
3 Sm 0.5000 0.0000 0.4901  1 Ir 2.90, 6 Pt 3.03-3.17
4 Sm 0.5000 0.5000 0.7733  7 Pt 2.97-3.09
5 Ir 0.5000 0.0000 0.2209  7 Sm 2.90-3.07, 2 Pt 2.90
6 Pt 0.0000 0.0000 0.7222  2 Pt 2.90, 7 Sm 3.00-3.17
7 Pt 0.0000 0.5000 0.5502  2 Pt 2.90, 7 Sm 2.98-3.09
8 Pt 0.5000 0.5000 0.0489  2 Ir 2.90, 7 Sm 2.97-3.11

Summary:
space group: Pmm2, No. 25
N(E_F): 4.74 states/eV/f.u.
energy relative to the elements: -103.2 kJ per mole of atoms
spin magnetization: 0.000 μB per cell

***

Number 1: final energy -5.591 eV/atom, calculated density 9.83 g/cm³. Number 2: final energy -6.802 eV/atom, calculated density 12.24 g/cm³.